# 1
Here is a geometry-optimized MgAgOs2Pb structure from Alexandria via LeMat-Bulk. Energies are from PBE.

The calculation puts the calculated total energy at -4.12 eV per atom.

a = 4.655 Å, b = 4.655 Å, c = 5.108 Å
α = 90.00°, β = 90.00°, γ = 90.00°
Space group P4/mmm (No. 123)
Symmetry-distinct sites (fractional):
Mg 0.000 0.000 0.000 x1
Ag 0.500 0.500 0.500 x1
Os 0.000 0.500 0.000 x2
Pb 0.000 0.000 0.500 x1

---

# 2
Here is a geometry-optimized Hg3RhSe structure from Alexandria via LeMat-Bulk. Energies are from PBE.

The raw formation energy is 1.028 eV per atom.

a = 5.284 Å, b = 5.284 Å, c = 5.284 Å
α = 90.00°, β = 90.00°, γ = 90.00°
Space group Pm-3m (No. 221)
Symmetry-distinct sites (fractional):
Hg 0.000 0.000 0.500 x3
Rh 0.500 0.500 0.500 x1
Se 0.000 0.000 0.000 x1

---

# 3
Here is a geometry-optimized LaSm4H10 structure from Alexandria via LeMat-Bulk. Energies are from PBE.

The calculation puts the calculated total energy at -4.49 eV per atom.

a = 3.8287 Å, b = 3.8287 Å, c = 47.0642 Å
α = 90.00°, β = 90.00°, γ = 120.00°
Space group R-3m (No. 166, hexagonal axes)
Symmetry-distinct sites (fractional):
La 0.0000 0.0000 0.0000 x3
Sm 0.0000 0.0000 0.1995 x6
Sm 0.0000 0.0000 0.4016 x6
H 0.0000 0.0000 0.0520 x6
H 0.0000 0.0000 0.1500 x6
H 0.0000 0.0000 0.2489 x6
H 0.0000 0.0000 0.3526 x6
H 0.0000 0.0000 0.4510 x6

---

| no. | DOS at the Fermi energy (states/eV per cell) | size of the total moment (μB per formula unit) |
| --- | --- | --- |
| 1 | 6.817 | 2.10 |
| 2 | 6.865 | 0.00 |
| 3 | 16.382 | 0.00 |